# Pr4Er3ThS8

A relaxed structure of Pr4Er3ThS8 (PBE-GGA, Alexandria via LeMat-Bulk).

Unit cell a=7.9756 b=7.9756 c=19.8815 alpha=90.00 beta=90.00 gamma=120.00
Space group R-3m (No. 166, hexagonal axes)
Unique sites:
Pr1 0.0000 0.0000 0.0000 x3
Pr2 0.0000 0.5000 0.0000 x9
Er1 0.0000 0.5000 0.5000 x9
Th1 0.0000 0.0000 0.5000 x3
S1 0.0000 0.0000 0.2422 x6
S2 0.0078 0.5039 0.7559 x18

Results
E_form (uncorrected): -1.9687 eV/atom
Spin magnetization: 0.000 μB/atom
Total DFT energy (no corrections): -6.547 eV/atom